16
Lattice="8.067 0.000 0.000 0.000 9.003 0.651 -4.034 -4.028 5.707" Properties=species:S:1:pos:R:3 comment="Pm8Co3PdBr4 (GGA-PBE, optimized geometry)" raw_formation_energy_ev_per_atom=-0.809 rho_g_cm3=6.72 total_energy_ev_per_atom=-5.259 pbc="T T T"
Pm 2.115 2.578 0.458
Pm 4.034 4.378 3.092
Pm 4.034 0.659 3.176
Pm 5.953 2.578 0.458
Pm 1.919 2.397 5.900
Pm 0.000 4.316 3.182
Pm 0.000 0.597 3.266
Pm -1.919 2.397 5.900
Br 0.000 0.000 0.000
Br 4.034 0.000 0.000
Br -2.017 -2.014 2.854
Br 2.017 -2.014 2.854
Co 4.034 4.501 0.326
Co 2.017 2.487 3.179
Co -2.017 2.487 3.179
Pd 0.000 4.501 0.326

---

16
Lattice="8.414 0.000 0.000 0.000 9.186 0.534 -4.207 -4.203 5.952" Properties=species:S:1:pos:R:3 comment="Pr8CoPd3Br4 (GGA-PBE, optimized geometry)" raw_formation_energy_ev_per_atom=-0.932 rho_g_cm3=6.33 total_energy_ev_per_atom=-5.157 pbc="T T T"
Pr -2.207 2.312 6.163
Pr 4.207 0.465 3.445
Pr 4.207 4.479 3.161
Pr 6.414 2.671 0.324
Pr 0.000 4.518 3.042
Pr 0.000 0.504 3.326
Pr 2.207 2.312 6.163
Pr 2.000 2.671 0.324
Br 2.104 -2.102 2.976
Br 4.207 0.000 0.000
Br 0.000 0.000 0.000
Br -2.104 -2.102 2.976
Pd -2.104 2.492 3.243
Pd 2.104 2.492 3.243
Pd 4.207 4.593 0.267
Co 0.000 4.593 0.267

---

8
Lattice="-2.878 -2.253 1.931 3.832 0.365 6.138 -5.061 6.424 -0.047" Properties=species:S:1:pos:R:3 comment="Pr4CoPdBr2 (GGA-PBE, optimized geometry)" raw_formation_energy_ev_per_atom=-0.866 rho_g_cm3=6.30 total_energy_ev_per_atom=-5.212 pbc="T T T"
Br -3.969 2.086 0.942
Br -0.614 3.395 3.045
Pr 1.768 1.510 4.396
Pr -2.637 4.309 5.521
Pr -2.996 5.280 1.694
Pr -1.469 0.228 2.501
Co 0.477 -0.944 4.034
Pd 0.000 0.000 0.000

---

12
Lattice="-3.276 3.157 -4.808 0.404 -2.154 -6.246 -8.928 -5.605 -2.153" Properties=species:S:1:pos:R:3 comment="RbCo2PdBr8 (GGA-PBE, optimized geometry)" raw_formation_energy_ev_per_atom=-0.523 rho_g_cm3=4.13 total_energy_ev_per_atom=-3.336 pbc="T T T"
Co -2.741 -0.995 -3.342
Co -9.059 -3.607 -9.866
Br -4.236 0.775 -8.823
Br -9.925 -2.536 -5.660
Br -4.585 -2.369 -2.988
Br -7.563 -5.376 -4.385
Br -3.333 0.541 -5.028
Br -7.215 -2.233 -10.220
Br -1.874 -2.066 -7.548
Br -8.467 -5.142 -8.180
Pd 0.000 0.000 0.000
Rb -5.900 -2.301 -6.604

---

10
Lattice="7.410 0.000 0.000 0.000 7.410 0.000 3.705 3.705 5.243" Properties=species:S:1:pos:R:3 comment="Rb2CoPdBr6 (GGA-PBE, optimized geometry)" raw_formation_energy_ev_per_atom=-0.824 rho_g_cm3=4.71 total_energy_ev_per_atom=-3.251 pbc="T T T"
Br 5.523 1.887 0.000
Br 1.887 1.887 0.000
Br 3.705 3.705 2.553
Br 1.887 5.523 0.000
Br 7.410 7.410 2.691
Br 5.523 5.523 0.000
Rb 7.410 3.705 2.622
Rb 3.705 7.410 2.622
Pd 0.000 0.000 0.000
Co 3.705 3.705 0.000

---

5
Lattice="4.983 0.000 0.000 0.000 4.577 0.000 0.000 0.000 4.983" Properties=species:S:1:pos:R:3 comment="Co2PdSeBr (GGA-PBE, optimized geometry)" raw_formation_energy_ev_per_atom=0.953 rho_g_cm3=5.60 total_energy_ev_per_atom=-3.960 pbc="T T T"
Br 2.491 2.288 2.491
Se 0.000 2.288 0.000
Co 0.000 0.000 2.491
Co 2.491 0.000 0.000
Pd 0.000 0.000 0.000

---

5
Lattice="-3.361 2.059 -2.322 0.087 -3.360 -3.104 -3.445 -2.581 2.698" Properties=species:S:1:pos:R:3 comment="CoPdSe2Br (GGA-PBE, optimized geometry)" de_polymorph_ev_per_fu=0.00 raw_formation_energy_ev_per_atom=0.481 rho_g_cm3=6.30 total_energy_ev_per_atom=-3.707 pbc="T T T"
Br -1.722 -1.291 1.349
Se -1.681 1.029 -1.161
Se 0.043 -1.680 -1.552
Pd -3.360 -1.941 -1.364
Co 0.000 0.000 0.000

---

16
Lattice="8.026 0.000 0.000 0.000 8.960 0.654 -4.013 -4.006 5.677" Properties=species:S:1:pos:R:3 comment="Sm8Co3PdBr4 (GGA-PBE, optimized geometry)" raw_formation_energy_ev_per_atom=-0.809 rho_g_cm3=6.99 total_energy_ev_per_atom=-5.243 pbc="T T T"
Co 2.006 2.477 3.165
Co -2.006 2.477 3.165
Co 4.013 4.480 0.327
Pd 0.000 4.480 0.327
Br 0.000 0.000 0.000
Br 2.006 -2.003 2.839
Br -2.006 -2.003 2.839
Br 4.013 0.000 0.000
Sm 1.909 2.387 5.869
Sm 4.013 0.661 3.163
Sm 2.104 2.567 0.462
Sm 4.013 4.354 3.073
Sm 5.922 2.567 0.462
Sm 0.000 4.294 3.168
Sm -1.909 2.387 5.869
Sm 0.000 0.600 3.258

---

5
Lattice="-5.212 1.996 1.212 -1.287 -4.554 1.968 1.843 1.697 5.133" Properties=species:S:1:pos:R:3 comment="CoSnPdBr2 (GGA-PBE, optimized geometry)" raw_formation_energy_ev_per_atom=0.801 rho_g_cm3=4.41 total_energy_ev_per_atom=-3.129 pbc="T T T"
Co -2.328 -0.430 4.156
Br -2.606 0.998 0.606
Br 0.922 0.848 2.566
Sn 0.000 0.000 0.000
Pd -0.643 -2.277 0.984

---

5
Lattice="4.428 0.000 0.000 0.000 4.969 0.000 0.000 0.000 4.428" Properties=species:S:1:pos:R:3 comment="TlCo2PdBr (GGA-PBE, optimized geometry)" raw_formation_energy_ev_per_atom=0.844 rho_g_cm3=8.67 total_energy_ev_per_atom=-3.845 pbc="T T T"
Br 0.000 0.000 0.000
Co 0.000 0.000 2.214
Co 2.214 0.000 0.000
Tl 2.214 2.484 2.214
Pd 0.000 2.484 0.000

---

5
Lattice="-3.746 0.932 -1.094 -3.008 -2.537 0.780 -3.867 4.362 9.594" Properties=species:S:1:pos:R:3 comment="Pm2CoBr2 (GGA-PBE, optimized geometry)" raw_formation_energy_ev_per_atom=-0.945 rho_g_cm3=5.52 total_energy_ev_per_atom=-4.935 pbc="T T T"
Pm -4.737 -0.360 1.198
Pm -5.883 3.116 8.082
Co 0.000 0.000 0.000
Br -7.277 -0.019 2.827
Br -3.344 2.776 6.453

---

6
Lattice="3.773 -0.024 -0.788 -0.400 5.566 -2.090 -0.294 -0.214 7.984" Properties=species:S:1:pos:R:3 comment="Pm3CoBr2 (GGA-PBE, optimized geometry)" raw_formation_energy_ev_per_atom=-0.881 rho_g_cm3=6.60 total_energy_ev_per_atom=-4.998 pbc="T T T"
Pm 1.049 1.922 4.918
Pm 0.000 0.000 0.000
Pm 2.030 3.406 0.189
Br 2.387 0.910 1.966
Br 0.692 4.418 3.140
Co -0.200 2.783 -1.045